Entry 1:
# ScN3F, optimized geometry, DFT PBE-GGA
# volume	77	Å³/cell
# uncorrected energy	-5.17	eV per atom
data_ScN3F
_chemical_formula_sum 'Sc1 N3 F1'
_cell_length_a 4.254
_cell_length_b 4.254
_cell_length_c 4.254
_cell_angle_alpha 90.00
_cell_angle_beta 90.00
_cell_angle_gamma 90.00
_space_group_name_H-M_alt 'P 1'
_space_group_IT_number 1
_space_group_name_Hall 'P 1'
loop_
_atom_site_label
_atom_site_type_symbol
_atom_site_fract_x
_atom_site_fract_y
_atom_site_fract_z
Sc1 Sc 0.000 0.000 0.000
N1 N 0.000 0.500 0.000
N2 N 0.000 0.000 0.500
N3 N 0.500 0.000 0.000
F1 F 0.500 0.500 0.500



Entry 2:
# Cr2SbP, optimized geometry, DFT PBE-GGA
# volume	62	Å³/cell
# uncorrected energy	-7.03	eV per atom
data_Cr2SbP
_chemical_formula_sum 'Cr2 Sb1 P1'
_cell_length_a 4.702
_cell_length_b 4.702
_cell_length_c 4.702
_cell_angle_alpha 136.64
_cell_angle_beta 116.38
_cell_angle_gamma 80.13
_space_group_name_H-M_alt 'P 1'
_space_group_IT_number 1
_space_group_name_Hall 'P 1'
loop_
_atom_site_label
_atom_site_type_symbol
_atom_site_fract_x
_atom_site_fract_y
_atom_site_fract_z
Cr1 Cr 0.953 0.953 0.000
Cr2 Cr 0.547 0.547 0.000
P1 P 0.750 0.250 0.500
Sb1 Sb 0.250 0.750 0.500



Entry 3:
# Ba3Mg7Zn2, optimized geometry, DFT PBE-GGA
# E_form	-0.101	eV/atom
# volume	359	Å³/cell
# uncorrected energy	-1.72	eV per atom
data_Ba3Mg7Zn2
_chemical_formula_sum 'Ba3 Mg7 Zn2'
_cell_length_a 6.501
_cell_length_b 6.501
_cell_length_c 10.490
_cell_angle_alpha 71.95
_cell_angle_beta 71.95
_cell_angle_gamma 60.00
_space_group_name_H-M_alt 'P 1'
_space_group_IT_number 1
_space_group_name_Hall 'P 1'
loop_
_atom_site_label
_atom_site_type_symbol
_atom_site_fract_x
_atom_site_fract_y
_atom_site_fract_z
Ba1 Ba 0.000 0.000 0.000
Ba2 Ba 0.855 0.855 0.435
Ba3 Ba 0.145 0.145 0.565
Mg1 Mg 0.500 0.500 0.500
Mg2 Mg 0.925 0.427 0.222
Mg3 Mg 0.427 0.925 0.222
Mg4 Mg 0.427 0.427 0.222
Mg5 Mg 0.075 0.573 0.778
Mg6 Mg 0.573 0.573 0.778
Mg7 Mg 0.573 0.075 0.778
Zn1 Zn 0.666 0.666 0.001
Zn2 Zn 0.334 0.334 0.999